Entry 1:
Computed, not measured: a relaxed LaNbIr3 crystal at the GGA-PBE level of DFT.

VASP energy: -7.975 eV per atom
Mass density: 11.808 g cm⁻³
Symmetry: Pm-3m (221)

a = 4.8444 Å, b = 4.8444 Å, c = 4.8444 Å
α = 90.00°, β = 90.00°, γ = 90.00°
Closest atoms and distances in Å follow each position.
Fractional positions:
Ir: 0.5000 0.0000 0.0000  2 Nb 2.42
Ir: 0.0000 0.0000 0.5000  2 Nb 2.42
Ir: 0.0000 0.5000 0.0000  2 Nb 2.42
La: 0.5000 0.5000 0.5000  12 Ir 3.43
Nb: 0.0000 0.0000 0.0000  6 Ir 2.42

=====

Entry 2:
Computed, not measured: a relaxed La3NbIr crystal at the GGA-PBE level of DFT.

VASP energy: -6.390 eV per atom
Mass density: 6.883 g cm⁻³
Symmetry: Pm-3m (221)

a = 5.5324 Å, b = 5.5324 Å, c = 5.5324 Å
α = 90.00°, β = 90.00°, γ = 90.00°
Closest atoms and distances in Å follow each position.
Fractional positions:
La: 0.0000 0.0000 0.5000  2 Ir 2.77
Ir: 0.0000 0.0000 0.0000  6 La 2.77
La: 0.0000 0.5000 0.0000  2 Ir 2.77
La: 0.5000 0.0000 0.0000  2 Ir 2.77
Nb: 0.5000 0.5000 0.5000  12 La 3.91

=====

Entry 3:
Computed, not measured: a relaxed La2NbIr crystal at the GGA-PBE level of DFT.

VASP energy: -7.045 eV per atom
Mass density: 9.483 g cm⁻³
Symmetry: Fm-3m (225)

a = 5.1852 Å, b = 5.1852 Å, c = 5.1852 Å
α = 60.00°, β = 60.00°, γ = 60.00°
Closest atoms and distances in Å follow each position.
Fractional positions:
Nb: 0.0000 0.0000 0.0000  8 La 3.18
La: 0.2500 0.2500 0.2500  4 Nb 3.18, 4 Ir 3.18
La: 0.7500 0.7500 0.7500  4 Nb 3.18, 4 Ir 3.18
Ir: 0.5000 0.5000 0.5000  8 La 3.18

=====

Entry 4:
Computed, not measured: a relaxed LaNb2Ir crystal at the GGA-PBE level of DFT.

VASP energy: -8.448 eV per atom
Mass density: 11.435 g cm⁻³
Symmetry: Fm-3m (225)

a = 4.7351 Å, b = 4.7351 Å, c = 4.7351 Å
α = 60.00°, β = 60.00°, γ = 60.00°
Closest atoms and distances in Å follow each position.
Fractional positions:
La: 0.0000 0.0000 0.0000  8 Nb 2.90
Nb: 0.2500 0.2500 0.2500  4 La 2.90, 4 Ir 2.90
Nb: 0.7500 0.7500 0.7500  4 La 2.90, 4 Ir 2.90
Ir: 0.5000 0.5000 0.5000  8 Nb 2.90

=====

Entry 5:
Computed, not measured: a relaxed LaNbIr2 crystal at the GGA-PBE level of DFT.

VASP energy: -8.316 eV per atom
Mass density: 13.124 g cm⁻³
Symmetry: Fm-3m (225)

a = 4.7953 Å, b = 4.7953 Å, c = 4.7953 Å
α = 60.00°, β = 60.00°, γ = 60.00°
Closest atoms and distances in Å follow each position.
Fractional positions:
La: 0.5000 0.5000 0.5000  8 Ir 2.94
Ir: 0.2500 0.2500 0.2500  4 La 2.94, 4 Nb 2.94
Nb: 0.0000 0.0000 0.0000  8 Ir 2.94
Ir: 0.7500 0.7500 0.7500  4 La 2.94, 4 Nb 2.94

=====

Entry 6:
Computed, not measured: a relaxed LaNbIrO2 crystal at the GGA-PBE level of DFT.

E_form (uncorrected): -164 kJ/mol of atoms
Mass density: 8.759 g cm⁻³
Symmetry: P4/mmm (123)

a = 4.0678 Å, b = 5.2247 Å, c = 4.0678 Å
α = 90.00°, β = 90.00°, γ = 90.00°
Closest atoms and distances in Å follow each position.
Fractional positions:
Ir: 0.0000 0.5000 0.0000  2 Nb 2.61, 4 La 2.88
La: 0.5000 0.5000 0.5000  4 Ir 2.88
Nb: 0.0000 0.0000 0.0000  4 O 2.03
O: 0.0000 0.0000 0.5000  2 Nb 2.03
O: 0.5000 0.0000 0.0000  2 Nb 2.03

=====

Entry 7:
Computed, not measured: a relaxed LaNb2IrOs crystal at the GGA-PBE level of DFT.

VASP energy: -6.618 eV per atom
Mass density: 10.666 g cm⁻³
Symmetry: P4/mmm (123)

a = 4.8252 Å, b = 4.7287 Å, c = 4.8252 Å
α = 90.00°, β = 90.00°, γ = 90.00°
Closest atoms and distances in Å follow each position.
Fractional positions:
Nb: 0.5000 0.0000 0.0000  2 La 2.41
Ir: 0.0000 0.5000 0.0000  2 La 2.36
Os: 0.5000 0.5000 0.5000  8 Nb 3.38, 4 Ir 3.41
La: 0.0000 0.0000 0.0000  2 Ir 2.36, 4 Nb 2.41
Nb: 0.0000 0.0000 0.5000  2 La 2.41

=====

Entry 8:
Computed, not measured: a relaxed RbLaNbIr2 crystal at the GGA-PBE level of DFT.

VASP energy: -4.623 eV per atom
Mass density: 9.575 g cm⁻³
Symmetry: P4/mmm (123)

a = 5.0048 Å, b = 5.0048 Å, c = 4.8585 Å
α = 90.00°, β = 90.00°, γ = 90.00°
Closest atoms and distances in Å follow each position.
Fractional positions:
Nb: 0.0000 0.0000 0.5000  2 Rb 2.43
La: 0.5000 0.5000 0.5000  8 Ir 3.49, 4 Nb 3.54
Ir: 0.5000 0.0000 0.0000  2 Rb 2.50
Ir: 0.0000 0.5000 0.0000  2 Rb 2.50
Rb: 0.0000 0.0000 0.0000  2 Nb 2.43, 4 Ir 2.50

=====

Entry 9:
Computed, not measured: a relaxed La2NbReIr crystal at the GGA-PBE level of DFT.

VASP energy: -7.356 eV per atom
Mass density: 8.691 g cm⁻³
Symmetry: P4/mmm (123)

a = 5.4781 Å, b = 4.7698 Å, c = 5.4781 Å
α = 90.00°, β = 90.00°, γ = 90.00°
Closest atoms and distances in Å follow each position.
Fractional positions:
La: 0.5000 0.0000 0.0000  2 Re 2.74
Nb: 0.5000 0.5000 0.5000  8 La 3.63, 4 Ir 3.87
La: 0.0000 0.0000 0.5000  2 Re 2.74
Ir: 0.0000 0.5000 0.0000  2 Re 2.38
Re: 0.0000 0.0000 0.0000  2 Ir 2.38

=====

Entry 10:
Computed, not measured: a relaxed LaNbIrRu2 crystal at the GGA-PBE level of DFT.

VASP energy: -7.074 eV per atom
Mass density: 8.910 g cm⁻³
Symmetry: P4/mmm (123)

a = 4.6291 Å, b = 5.4460 Å, c = 4.6291 Å
α = 90.00°, β = 90.00°, γ = 90.00°
Closest atoms and distances in Å follow each position.
Fractional positions:
Ru: 0.5000 0.0000 0.0000  2 Nb 2.31
La: 0.0000 0.5000 0.0000  2 Nb 2.72
Ir: 0.5000 0.5000 0.5000  4 La 3.27, 8 Ru 3.57
Nb: 0.0000 0.0000 0.0000  4 Ru 2.31
Ru: 0.0000 0.0000 0.5000  2 Nb 2.31

=====

Entry 11:
Computed, not measured: a relaxed La2NbIrS crystal at the GGA-PBE level of DFT.

E_form (uncorrected): -3 kJ/mol of atoms
Mass density: 7.409 g cm⁻³
Symmetry: P4/mmm (123)

a = 5.5090 Å, b = 4.3939 Å, c = 5.5090 Å
α = 90.00°, β = 90.00°, γ = 90.00°
Closest atoms and distances in Å follow each position.
Fractional positions:
S: 0.0000 0.0000 0.0000  2 Ir 2.20
Ir: 0.0000 0.5000 0.0000  2 S 2.20
La: 0.0000 0.0000 0.5000  2 S 2.75
Nb: 0.5000 0.5000 0.5000  8 La 3.52, 4 Ir 3.90
La: 0.5000 0.0000 0.0000  2 S 2.75

=====

Entry 12:
Computed, not measured: a relaxed LaNbIrS2 crystal at the GGA-PBE level of DFT.

E_form (uncorrected): 105 kJ/mol of atoms
Mass density: 5.835 g cm⁻³
Symmetry: P4/mmm (123)

a = 5.2818 Å, b = 4.9794 Å, c = 5.2818 Å
α = 90.00°, β = 90.00°, γ = 90.00°
Closest atoms and distances in Å follow each position.
Fractional positions:
Ir: 0.0000 0.5000 0.0000  2 La 2.49
La: 0.0000 0.0000 0.0000  2 Ir 2.49, 4 S 2.64
S: 0.5000 0.0000 0.0000  2 La 2.64
Nb: 0.5000 0.5000 0.5000  8 S 3.63, 4 Ir 3.73
S: 0.0000 0.0000 0.5000  2 La 2.64

=====

Entry 13:
Computed, not measured: a relaxed LaNb2IrSe crystal at the GGA-PBE level of DFT.

E_form (uncorrected): 31 kJ/mol of atoms
Mass density: 7.234 g cm⁻³
Symmetry: P4/mmm (123)

a = 4.8415 Å, b = 5.8354 Å, c = 4.8415 Å
α = 90.00°, β = 90.00°, γ = 90.00°
Closest atoms and distances in Å follow each position.
Fractional positions:
Nb: 0.5000 0.0000 0.0000  2 Ir 2.42
La: 0.0000 0.5000 0.0000  2 Ir 2.92
Ir: 0.0000 0.0000 0.0000  4 Nb 2.42
Se: 0.5000 0.5000 0.5000  4 La 3.42, 8 Nb 3.79
Nb: 0.0000 0.0000 0.5000  2 Ir 2.42

=====

no.,M_tot (μB per formula unit)
1,0.00
2,0.00
3,2.53
4,0.00
5,0.00
6,0.00
7,0.00
8,1.37
9,3.14
10,1.40
11,3.33
12,0.35
13,1.17